Entry 1:
A geometry-optimized ReAg2Pt structure. Source: Alexandria, functional PBE.

The space group is I-42d (No. 122) and the conventional cell measures 7.481, 7.481 and 5.221 Å, with angles of 90.00, 90.00 and 90.00 degrees. Symmetry generates all atoms from Re at (0.000, 0.000, 0.000), Ag at (0.248, 0.250, 0.125) and Pt at (0.000, 0.000, 0.500).

Its volume is 18.3 Å³ per atom. The density of states at the Fermi level comes out at 1.24 states/eV/atom. The offset from the most stable computed form is 915 meV per atom. Its mass density is 13.6 g cm⁻³.

Entry 2:
A geometry-optimized SmDyNi10 structure. Source: Alexandria, functional PBE.

The space group is Pmmm (No. 47) and the conventional cell measures 3.959, 4.906 and 8.489 Å, with angles of 90.00, 90.00 and 90.00 degrees. Symmetry generates all atoms from Sm at (0.000, 0.000, 0.000), Dy at (0.000, 0.500, 0.500), Ni at (0.000, 0.000, 0.336), Ni at (0.000, 0.500, 0.169), Ni at (0.500, 0.000, 0.500), Ni at (0.500, 0.251, 0.252) and Ni at (0.500, 0.500, 0.000).

The electronic total energy comes out at -5.908 eV per atom. Its volume is 13.7 Å³ per atom. The density of states at the Fermi level comes out at 1.15 states/eV/atom. Its mass density is 9.1 g cm⁻³.

Entry 3:
A geometry-optimized Ba3ZnC structure. Source: Alexandria, functional PBE.

The space group is Pm-3m (No. 221) and the conventional cell measures 5.746, 5.746 and 5.746 Å, with angles of 90.00, 90.00 and 90.00 degrees. Symmetry generates all atoms from Ba at (0.000, 0.000, 0.500), Zn at (0.500, 0.500, 0.500) and C at (0.000, 0.000, 0.000).

Its volume is 37.9 Å³ per atom. The density of states at the Fermi level comes out at 1.89 states/eV/atom. The offset from the most stable computed form is 0 meV per atom. Its mass density is 4.3 g cm⁻³.

Entry 4:
A geometry-optimized SrAc14Y structure. Source: Alexandria, functional PBE.

The space group is P4/mmm (No. 123) and the conventional cell measures 7.975, 7.975 and 11.225 Å, with angles of 90.00, 90.00 and 90.00 degrees. Symmetry generates all atoms from Sr at (0.000, 0.000, 0.000), Ac at (0.000, 0.000, 0.500), Ac at (0.000, 0.500, 0.000), Ac at (0.000, 0.500, 0.500), Ac at (0.255, 0.255, 0.250), Ac at (0.500, 0.500, 0.500) and Y at (0.500, 0.500, 0.000).

The electronic total energy comes out at -4.071 eV per atom. Its volume is 44.6 Å³ per atom. The density of states at the Fermi level comes out at 1.72 states/eV/atom. Its mass density is 7.8 g cm⁻³.

Entry 5:
A geometry-optimized Y6N5F structure. Source: Alexandria, functional PBE.

The space group is C2/m (No. 12) and the conventional cell measures 6.048, 10.459 and 6.032 Å, with angles of 90.00, 109.66 and 90.00 degrees. Symmetry generates all atoms from Y at (0.236, 0.000, 0.264), Y at (0.239, 0.176, 0.744), N at (0.000, 0.000, 0.500), N at (0.000, 0.167, 0.000), N at (0.000, 0.334, 0.500) and F at (0.000, 0.500, 0.000).

Its volume is 15.0 Å³ per atom. The density of states at the Fermi level comes out at 0.20 states/eV/atom. Its uncorrected formation energy is -1873 meV per atom. Its mass density is 5.8 g cm⁻³.

Entry 6:
A geometry-optimized SrCoGe2Rh structure. Source: Alexandria, functional PBE.

The space group is I-4m2 (No. 119) and the conventional cell measures 4.138, 4.138 and 10.890 Å, with angles of 90.00, 90.00 and 90.00 degrees. Symmetry generates all atoms from Sr at (0.000, 0.000, 0.000), Co at (0.000, 0.500, 0.250), Ge at (0.000, 0.000, 0.365) and Rh at (0.000, 0.500, 0.750).

The electronic total energy comes out at -5.663 eV per atom. Its volume is 18.6 Å³ per atom. The density of states at the Fermi level comes out at 0.36 states/eV/atom. Its mass density is 7.0 g cm⁻³.

Entry 7:
A geometry-optimized Dy2HoPd4 structure. Source: Alexandria, functional PBE.

The space group is C2/m (No. 12) and the conventional cell measures 9.076, 5.591 and 7.644 Å, with angles of 90.00, 119.16 and 90.00 degrees. Symmetry generates all atoms from Dy at (0.234, 0.000, 0.337), Ho at (0.000, 0.500, 0.000), Pd at (0.155, 0.000, 0.651) and Pd at (0.250, 0.250, 0.000).

The electronic total energy comes out at -5.504 eV per atom. Its volume is 24.2 Å³ per atom. The density of states at the Fermi level comes out at 0.58 states/eV/atom. Its mass density is 9.0 g cm⁻³.

Entry 8:
A geometry-optimized SrMg2Hg10 structure. Source: Alexandria, functional PBE.

The space group is Fmmm (No. 69) and the conventional cell measures 6.382, 13.976 and 14.815 Å, with angles of 90.00, 90.00 and 90.00 degrees. Symmetry generates all atoms from Sr at (0.000, 0.000, 0.000), Mg at (0.250, 0.000, 0.250), Hg at (0.000, 0.108, 0.387), Hg at (0.000, 0.165, 0.176) and Hg at (0.250, 0.250, 0.000).

The electronic total energy comes out at -0.761 eV per atom. Its volume is 25.4 Å³ per atom. The density of states at the Fermi level comes out at 0.47 states/eV/atom. Its mass density is 10.8 g cm⁻³.

Question: Which of these has the highest mass density?
Answer: ReAg2Pt

Question: Look up the mass density of the third one.
Answer: 4.3 g cm⁻³

Question: mass density of number 1 (ReAg2Pt)?
Answer: 13.6 g cm⁻³

Question: Which of these has the lowest mass density?
Answer: Ba3ZnC